1.
Entry from the Alexandria database: MnZnCr3 after structural relaxation (GGA-PBE).

For the total energy, the calculation gives -6.808 eV per atom. The calculation puts the formation energy at 5.273 eV/f.u. The relative energy among the computed polymorphs comes out at 0 meV/atom.

The space group is Pm-3m (No. 221) and the conventional cell measures 4.384, 4.384 and 4.384 Å, with angles of 90.00, 90.00 and 90.00 degrees. The inequivalent atoms are Mn at (0.000, 0.000, 0.000), Zn at (0.500, 0.500, 0.500) and Cr at (0.000, 0.000, 0.500).

2.
Entry from the Alexandria database: Mn2ZnCr after structural relaxation (GGA-PBE).

For the total energy, the calculation gives -7.226 eV per atom. The calculation puts the formation energy at 0.331 eV/f.u.

The space group is I4/mmm (No. 139) and the conventional cell measures 3.847, 3.847 and 6.785 Å, with angles of 90.00, 90.00 and 90.00 degrees. The inequivalent atoms are Mn at (0.000, 0.500, 0.250), Zn at (0.000, 0.000, 0.000) and Cr at (0.000, 0.000, 0.500).

3.
Entry from the Alexandria database: MnZnCr2 after structural relaxation (GGA-PBE).

For the total energy, the calculation gives -7.212 eV per atom. The calculation puts the formation energy at 0.842 eV/f.u.

The space group is C2/m (No. 12) and the conventional cell measures 4.970, 8.191 and 2.470 Å, with angles of 90.00, 105.97 and 90.00 degrees. The inequivalent atoms are Mn at (0.000, 0.000, 0.000), Zn at (0.000, 0.500, 0.000) and Cr at (0.250, 0.250, 0.500).

4.
Entry from the Alexandria database: MnZnCr2 after structural relaxation (GGA-PBE).

For the total energy, the calculation gives -7.245 eV per atom. The calculation puts the formation energy at 0.712 eV/f.u.

The space group is P2/m (No. 10) and the conventional cell measures 2.474, 4.026 and 4.991 Å, with angles of 90.00, 104.25 and 90.00 degrees. The inequivalent atoms are Mn at (0.000, 0.000, 0.000), Zn at (0.500, 0.000, 0.500) and Cr at (0.247, 0.500, 0.765).

5.
Entry from the Alexandria database: MnZnCr2 after structural relaxation (GGA-PBE).

For the total energy, the calculation gives -7.166 eV per atom. The calculation puts the formation energy at 1.027 eV/f.u.

The space group is Cm (No. 8) and the conventional cell measures 8.453, 2.457 and 4.714 Å, with angles of 90.00, 94.13 and 90.00 degrees. The inequivalent atoms are Mn at (0.000, 0.000, 0.000), Zn at (0.255, 0.000, 0.755), Cr at (0.009, 0.500, 0.498) and Cr at (0.248, 0.500, 0.254).

6.
Entry from the Alexandria database: MnZnCr2 after structural relaxation (GGA-PBE).

For the total energy, the calculation gives -7.180 eV per atom. The calculation puts the formation energy at 0.969 eV/f.u.

The space group is I4/mmm (No. 139) and the conventional cell measures 3.483, 3.483 and 8.014 Å, with angles of 90.00, 90.00 and 90.00 degrees. The inequivalent atoms are Mn at (0.000, 0.000, 0.000), Zn at (0.000, 0.000, 0.500) and Cr at (0.000, 0.500, 0.250).